# Zn2CdI8 GGA-PBE optimized geometry
data_Zn2CdI8
_cell_length_a 6.737
_cell_length_b 8.771
_cell_length_c 8.771
_cell_angle_alpha 93.06
_cell_angle_beta 98.09
_cell_angle_gamma 98.09
_symmetry_space_group_name_H-M 'P 1'
_symmetry_Int_Tables_number 1
loop_
_symmetry_equiv_pos_as_xyz
'x,y,z'
loop_
_atom_site_label
_atom_site_fract_x
_atom_site_fract_y
_atom_site_fract_z
Zn1 0.458 0.221 0.221
Zn2 0.542 0.779 0.779
Cd1 0.000 0.000 0.000
I1 0.715 0.052 0.725
I2 0.285 0.275 0.948
I3 0.852 0.246 0.246
I4 0.148 0.754 0.754
I5 0.715 0.725 0.052
I6 0.285 0.948 0.275
I7 0.308 0.423 0.423
I8 0.692 0.577 0.577
# E_form (uncorrected) ... -0.414 eV per atom
# Total DFT energy (no corrections) ... -1.856 eV per atom
# Space group ... C2/m

=====

# TaSb2Au GGA-PBE optimized geometry
data_TaSb2Au
_cell_length_a 3.079
_cell_length_b 3.079
_cell_length_c 10.045
_cell_angle_alpha 90.00
_cell_angle_beta 90.00
_cell_angle_gamma 93.62
_symmetry_space_group_name_H-M 'P 1'
_symmetry_Int_Tables_number 1
loop_
_symmetry_equiv_pos_as_xyz
'x,y,z'
loop_
_atom_site_label
_atom_site_fract_x
_atom_site_fract_y
_atom_site_fract_z
Au1 0.500 0.500 0.716
Sb1 0.000 0.000 0.941
Sb2 0.500 0.500 0.314
Ta1 0.000 0.000 0.529
# E_form (uncorrected) ... 0.080 eV per atom
# Total DFT energy (no corrections) ... -5.764 eV per atom
# Space group ... Cmm2
# DOS at the Fermi energy ... 0.306 states/eV per atom

=====

# MoIrBr GGA-PBE optimized geometry
data_MoIrBr
_cell_length_a 2.972
_cell_length_b 2.972
_cell_length_c 6.799
_cell_angle_alpha 90.00
_cell_angle_beta 90.00
_cell_angle_gamma 120.00
_symmetry_space_group_name_H-M 'P 1'
_symmetry_Int_Tables_number 1
loop_
_symmetry_equiv_pos_as_xyz
'x,y,z'
loop_
_atom_site_label
_atom_site_fract_x
_atom_site_fract_y
_atom_site_fract_z
Mo1 0.333 0.667 0.666
Ir1 0.667 0.333 0.368
Br1 0.000 0.000 0.965
# E_form (uncorrected) ... 0.387 eV per atom
# Total DFT energy (no corrections) ... -6.734 eV per atom
# Space group ... P3m1
# ΔE to the lowest computed polymorph ... 0.052 eV/atom
# DOS at the Fermi energy ... 1.085 states/eV per atom

=====

# Nd2PtO GGA-PBE optimized geometry
data_Nd2PtO
_cell_length_a 5.948
_cell_length_b 5.953
_cell_length_c 10.500
_cell_angle_alpha 94.35
_cell_angle_beta 90.00
_cell_angle_gamma 90.00
_symmetry_space_group_name_H-M 'P 1'
_symmetry_Int_Tables_number 1
loop_
_symmetry_equiv_pos_as_xyz
'x,y,z'
loop_
_atom_site_label
_atom_site_fract_x
_atom_site_fract_y
_atom_site_fract_z
Nd1 0.762 0.970 0.900
Nd2 0.238 0.030 0.100
Nd3 0.762 0.530 0.600
Nd4 0.238 0.470 0.400
Nd5 0.789 0.470 0.145
Nd6 0.211 0.530 0.855
Nd7 0.789 0.030 0.355
Nd8 0.211 0.970 0.645
Pt1 0.292 0.965 0.369
Pt2 0.708 0.035 0.631
Pt3 0.292 0.535 0.131
Pt4 0.708 0.465 0.869
O1 0.152 0.580 0.623
O2 0.848 0.420 0.377
O3 0.152 0.920 0.877
O4 0.848 0.080 0.123
# E_form (uncorrected) ... -1.801 eV per atom
# Total DFT energy (no corrections) ... -6.934 eV per atom
# Space group ... P2/c
# ΔE to the lowest computed polymorph ... 0.000 eV/atom
# DOS at the Fermi energy ... 0.637 states/eV per atom

=====

# HPbNF2 GGA-PBE optimized geometry
data_HPbNF2
_cell_length_a 4.472
_cell_length_b 4.472
_cell_length_c 2.917
_cell_angle_alpha 90.00
_cell_angle_beta 90.00
_cell_angle_gamma 90.00
_symmetry_space_group_name_H-M 'P 1'
_symmetry_Int_Tables_number 1
loop_
_symmetry_equiv_pos_as_xyz
'x,y,z'
loop_
_atom_site_label
_atom_site_fract_x
_atom_site_fract_y
_atom_site_fract_z
Pb1 0.500 0.500 0.500
H1 0.000 0.000 0.000
N1 0.000 0.000 0.500
F1 0.000 0.500 0.000
F2 0.500 0.000 0.000
# Total DFT energy (no corrections) ... -4.109 eV per atom
# Space group ... P4/mmm
# ΔE to the lowest computed polymorph ... 0.000 eV/atom
# DOS at the Fermi energy ... 0.053 states/eV per atom

=====

# Ho3Tm12Tl GGA-PBE optimized geometry
data_Ho3Tm12Tl
_cell_length_a 4.891
_cell_length_b 4.891
_cell_length_c 19.819
_cell_angle_alpha 90.00
_cell_angle_beta 90.00
_cell_angle_gamma 90.00
_symmetry_space_group_name_H-M 'P 1'
_symmetry_Int_Tables_number 1
loop_
_symmetry_equiv_pos_as_xyz
'x,y,z'
loop_
_atom_site_label
_atom_site_fract_x
_atom_site_fract_y
_atom_site_fract_z
Ho1 0.000 0.000 0.249
Ho2 0.000 0.000 0.500
Ho3 0.000 0.000 0.751
Tm1 0.500 0.500 0.000
Tm2 0.500 0.500 0.245
Tm3 0.500 0.500 0.500
Tm4 0.500 0.500 0.755
Tm5 0.500 0.000 0.122
Tm6 0.500 0.000 0.374
Tm7 0.500 0.000 0.626
Tm8 0.500 0.000 0.878
Tm9 0.000 0.500 0.122
Tm10 0.000 0.500 0.374
Tm11 0.000 0.500 0.626
Tm12 0.000 0.500 0.878
Tl1 0.000 0.000 0.000
# Total DFT energy (no corrections) ... -4.380 eV per atom
# Space group ... P4/mmm
# DOS at the Fermi energy ... 1.183 states/eV per atom

=====

# CdI3N GGA-PBE optimized geometry
data_CdI3N
_cell_length_a 5.121
_cell_length_b 5.121
_cell_length_c 5.121
_cell_angle_alpha 90.00
_cell_angle_beta 90.00
_cell_angle_gamma 90.00
_symmetry_space_group_name_H-M 'P 1'
_symmetry_Int_Tables_number 1
loop_
_symmetry_equiv_pos_as_xyz
'x,y,z'
loop_
_atom_site_label
_atom_site_fract_x
_atom_site_fract_y
_atom_site_fract_z
I1 0.000 0.500 0.000
I2 0.000 0.000 0.500
I3 0.500 0.000 0.000
N1 0.000 0.000 0.000
Cd1 0.500 0.500 0.500
# E_form (uncorrected) ... 0.797 eV per atom
# Total DFT energy (no corrections) ... -1.981 eV per atom
# Space group ... Pm-3m
# ΔE to the lowest computed polymorph ... 0.413 eV/atom
# DOS at the Fermi energy ... 0.513 states/eV per atom

=====

# LiPr2SmS4 GGA-PBE optimized geometry
data_LiPr2SmS4
_cell_length_a 4.036
_cell_length_b 6.971
_cell_length_c 6.961
_cell_angle_alpha 70.48
_cell_angle_beta 90.00
_cell_angle_gamma 90.00
_symmetry_space_group_name_H-M 'P 1'
_symmetry_Int_Tables_number 1
loop_
_symmetry_equiv_pos_as_xyz
'x,y,z'
loop_
_atom_site_label
_atom_site_fract_x
_atom_site_fract_y
_atom_site_fract_z
Li1 0.500 0.500 0.000
Pr1 0.000 0.000 0.000
Pr2 0.500 0.000 0.500
Sm1 0.000 0.500 0.500
S1 0.000 0.737 0.758
S2 0.000 0.263 0.242
S3 0.500 0.738 0.248
S4 0.500 0.262 0.752
# E_form (uncorrected) ... -1.909 eV per atom
# Total DFT energy (no corrections) ... -5.997 eV per atom
# Space group ... P2/m
# DOS at the Fermi energy ... 0.339 states/eV per atom

=====

# CaSi2Br GGA-PBE optimized geometry
data_CaSi2Br
_cell_length_a 5.108
_cell_length_b 5.108
_cell_length_c 5.108
_cell_angle_alpha 60.00
_cell_angle_beta 60.00
_cell_angle_gamma 60.00
_symmetry_space_group_name_H-M 'P 1'
_symmetry_Int_Tables_number 1
loop_
_symmetry_equiv_pos_as_xyz
'x,y,z'
loop_
_atom_site_label
_atom_site_fract_x
_atom_site_fract_y
_atom_site_fract_z
Ca1 0.000 0.000 0.000
Si1 0.250 0.250 0.250
Si2 0.750 0.750 0.750
Br1 0.500 0.500 0.500
# E_form (uncorrected) ... 0.492 eV per atom
# Total DFT energy (no corrections) ... -3.138 eV per atom
# Space group ... Fm-3m
# ΔE to the lowest computed polymorph ... 1.168 eV/atom
# DOS at the Fermi energy ... 0.624 states/eV per atom

=====

# SiBr2F GGA-PBE optimized geometry
data_SiBr2F
_cell_length_a 7.063
_cell_length_b 7.063
_cell_length_c 6.207
_cell_angle_alpha 55.32
_cell_angle_beta 55.32
_cell_angle_gamma 90.00
_symmetry_space_group_name_H-M 'P 1'
_symmetry_Int_Tables_number 1
loop_
_symmetry_equiv_pos_as_xyz
'x,y,z'
loop_
_atom_site_label
_atom_site_fract_x
_atom_site_fract_y
_atom_site_fract_z
Si1 0.000 0.000 0.000
Si2 0.750 0.250 0.500
Br1 0.661 0.125 0.250
Br2 0.089 0.625 0.250
Br3 0.375 0.339 0.750
Br4 0.875 0.911 0.750
F1 0.500 0.500 0.000
F2 0.250 0.750 0.500
# E_form (uncorrected) ... -0.206 eV per atom
# Total DFT energy (no corrections) ... -2.866 eV per atom
# Space group ... I-42d
# ΔE to the lowest computed polymorph ... 1.248 eV/atom
# DOS at the Fermi energy ... 1.525 states/eV per atom

=====

# Y2CuRh GGA-PBE optimized geometry
data_Y2CuRh
_cell_length_a 4.366
_cell_length_b 3.814
_cell_length_c 5.553
_cell_angle_alpha 69.83
_cell_angle_beta 90.00
_cell_angle_gamma 90.00
_symmetry_space_group_name_H-M 'P 1'
_symmetry_Int_Tables_number 1
loop_
_symmetry_equiv_pos_as_xyz
'x,y,z'
loop_
_atom_site_label
_atom_site_fract_x
_atom_site_fract_y
_atom_site_fract_z
Y1 0.000 0.987 0.900
Y2 0.500 0.266 0.343
Rh1 0.500 0.546 0.782
Cu1 0.000 0.701 0.474
# Total DFT energy (no corrections) ... -6.664 eV per atom
# Space group ... Pm
# DOS at the Fermi energy ... 0.766 states/eV per atom

=====

# KHf2Si GGA-PBE optimized geometry
data_KHf2Si
_cell_length_a 5.400
_cell_length_b 5.400
_cell_length_c 10.150
_cell_angle_alpha 74.57
_cell_angle_beta 74.57
_cell_angle_gamma 90.00
_symmetry_space_group_name_H-M 'P 1'
_symmetry_Int_Tables_number 1
loop_
_symmetry_equiv_pos_as_xyz
'x,y,z'
loop_
_atom_site_label
_atom_site_fract_x
_atom_site_fract_y
_atom_site_fract_z
K1 0.000 0.000 0.000
K2 0.750 0.250 0.500
Hf1 0.399 0.125 0.250
Hf2 0.351 0.625 0.250
Hf3 0.375 0.601 0.750
Hf4 0.875 0.649 0.750
Si1 0.500 0.500 0.000
Si2 0.250 0.750 0.500
# E_form (uncorrected) ... 0.958 eV per atom
# Total DFT energy (no corrections) ... -5.649 eV per atom
# Space group ... I-42d
# DOS at the Fermi energy ... 1.052 states/eV per atom